A plane-wave DFT calculation with PBE was carried out for crystalline SrGe2Sb2 at its relaxed geometry.

Geometry as POSCAR:
```
SrGe2Sb2
1.0
5.516 0.000 0.000
0.000 5.516 0.000
2.758 2.758 4.624
Ge Sb Sr
2 2 1
Direct
0.356 0.356 0.288
0.644 0.644 0.712
0.750 0.250 0.500
0.250 0.750 0.500
0.000 0.000 0.000
```

Properties
Crystal system: tetragonal
Size of the total moment in μB/cell: 0.00
ΔE_f (raw) in eV/atom: -0.25